# 1
Computed, not measured: a crystal of NaLi3Pt relaxed with PBEsol at the SCAN level of DFT.

Calculated values
The calculation puts the total DFT energy (no corrections) at -16.54 eV/atom. The formation energy comes out at -0.2260 eV per atom.

CIF file:
```
data_NaLi3Pt
_chemical_formula_sum 'Na1 Li3 Pt1'
_cell_length_a 4.800
_cell_length_b 4.800
_cell_length_c 4.800
_cell_angle_alpha 90.00
_cell_angle_beta 90.00
_cell_angle_gamma 90.00
_symmetry_space_group_name_H-M 'P 1'
_symmetry_Int_Tables_number 1
loop_
_symmetry_equiv_pos_as_xyz
'x,y,z'
loop_
_atom_site_label
_atom_site_fract_x
_atom_site_fract_y
_atom_site_fract_z
_atom_site_occupancy
Li1 0.000 0.500 0.000 1
Li2 0.500 0.000 0.000 1
Na1 0.500 0.500 0.500 1
Li3 0.000 0.000 0.500 1
Pt1 0.000 0.000 0.000 1
```

---

# 2
Computed, not measured: a crystal of ScWSe relaxed with PBEsol at the SCAN level of DFT.

Calculated values
The calculation puts the total DFT energy (no corrections) at -33.88 eV/atom. As for the raw formation energy: 0.79 eV per atom.

CIF file:
```
data_ScWSe
_chemical_formula_sum 'Sc1 W1 Se1'
_cell_length_a 4.348
_cell_length_b 4.348
_cell_length_c 4.348
_cell_angle_alpha 60.00
_cell_angle_beta 60.00
_cell_angle_gamma 60.00
_symmetry_space_group_name_H-M 'P 1'
_symmetry_Int_Tables_number 1
loop_
_symmetry_equiv_pos_as_xyz
'x,y,z'
loop_
_atom_site_label
_atom_site_fract_x
_atom_site_fract_y
_atom_site_fract_z
_atom_site_occupancy
Sc1 0.000 0.000 0.000 1
W1 0.250 0.250 0.250 1
Se1 0.500 0.500 0.500 1
```

---

# 3
Computed, not measured: a crystal of NdSi2Au2 relaxed with PBEsol at the SCAN level of DFT.

Calculated values
The calculation puts the total DFT energy (no corrections) at -41.14 eV/atom. As for the raw formation energy: -0.76 eV per atom.

CIF file:
```
data_NdSi2Au2
_chemical_formula_sum 'Nd1 Si2 Au2'
_cell_length_a 4.267
_cell_length_b 4.267
_cell_length_c 5.910
_cell_angle_alpha 111.16
_cell_angle_beta 111.16
_cell_angle_gamma 90.00
_symmetry_space_group_name_H-M 'P 1'
_symmetry_Int_Tables_number 1
loop_
_symmetry_equiv_pos_as_xyz
'x,y,z'
loop_
_atom_site_label
_atom_site_fract_x
_atom_site_fract_y
_atom_site_fract_z
_atom_site_occupancy
Si1 0.615 0.615 0.229 1
Au1 0.750 0.250 0.500 1
Si2 0.385 0.385 0.771 1
Au2 0.250 0.750 0.500 1
Nd1 0.000 0.000 0.000 1
```

---

# 4
Computed, not measured: a crystal of Sc2MnAl relaxed with PBEsol at the SCAN level of DFT.

Calculated values
The calculation puts the total DFT energy (no corrections) at -13.89 eV/atom. The formation energy comes out at -0.2649 eV per atom.

CIF file:
```
data_Sc2MnAl
_chemical_formula_sum 'Sc2 Mn1 Al1'
_cell_length_a 3.081
_cell_length_b 4.751
_cell_length_c 5.666
_cell_angle_alpha 114.79
_cell_angle_beta 105.78
_cell_angle_gamma 90.00
_symmetry_space_group_name_H-M 'P 1'
_symmetry_Int_Tables_number 1
loop_
_symmetry_equiv_pos_as_xyz
'x,y,z'
loop_
_atom_site_label
_atom_site_fract_x
_atom_site_fract_y
_atom_site_fract_z
_atom_site_occupancy
Mn1 0.235 0.735 0.470 1
Al1 0.530 0.530 0.060 1
Sc1 0.971 0.971 0.942 1
Sc2 0.764 0.264 0.528 1
```

---

# 5
Computed, not measured: a crystal of Ba2ReHg relaxed with PBEsol at the SCAN level of DFT.

Calculated values
The calculation puts the total DFT energy (no corrections) at -53.91 eV/atom. The formation energy comes out at 0.6802 eV per atom.

CIF file:
```
data_Ba2ReHg
_chemical_formula_sum 'Ba2 Re1 Hg1'
_cell_length_a 3.603
_cell_length_b 5.715
_cell_length_c 5.715
_cell_angle_alpha 90.00
_cell_angle_beta 90.00
_cell_angle_gamma 90.00
_symmetry_space_group_name_H-M 'P 1'
_symmetry_Int_Tables_number 1
loop_
_symmetry_equiv_pos_as_xyz
'x,y,z'
loop_
_atom_site_label
_atom_site_fract_x
_atom_site_fract_y
_atom_site_fract_z
_atom_site_occupancy
Hg1 0.500 0.000 0.000 1
Ba1 0.000 0.000 0.500 1
Re1 0.500 0.500 0.500 1
Ba2 0.000 0.500 0.000 1
```

---

# 6
Computed, not measured: a crystal of MnZnSi2O6 relaxed with PBEsol at the SCAN level of DFT.

Calculated values
The calculation puts the total DFT energy (no corrections) at -11.48 eV/atom. As for the raw formation energy: -2.56 eV per atom.

CIF file:
```
data_MnZnSi2O6
_chemical_formula_sum 'Mn2 Zn2 Si4 O12'
_cell_length_a 5.362
_cell_length_b 6.798
_cell_length_c 6.798
_cell_angle_alpha 87.42
_cell_angle_beta 74.77
_cell_angle_gamma 74.77
_symmetry_space_group_name_H-M 'P 1'
_symmetry_Int_Tables_number 1
loop_
_symmetry_equiv_pos_as_xyz
'x,y,z'
loop_
_atom_site_label
_atom_site_fract_x
_atom_site_fract_y
_atom_site_fract_z
_atom_site_occupancy
O1 0.657 0.960 0.789 1
Si1 0.779 0.778 0.612 1
Zn1 0.750 0.232 0.768 1
Si2 0.221 0.222 0.388 1
O2 0.343 0.040 0.211 1
O3 0.462 0.332 0.382 1
O4 0.962 0.382 0.332 1
O5 0.038 0.618 0.668 1
O6 0.843 0.211 0.040 1
O7 0.882 0.853 0.382 1
O8 0.118 0.147 0.618 1
Mn1 0.750 0.892 0.108 1
O9 0.382 0.382 0.853 1
O10 0.538 0.668 0.618 1
Mn2 0.250 0.108 0.892 1
Si3 0.279 0.612 0.778 1
Si4 0.721 0.388 0.222 1
O11 0.157 0.789 0.960 1
O12 0.618 0.618 0.147 1
Zn2 0.250 0.768 0.232 1
```

---

It is found that the magnetization values, taken in the order of the records, are 0.000 0.004 0.000 2.641 1.934 10.000 Bohr magnetons per cell.